The following is a PBE-GGA calculation of a relaxed structure of TbTmPdAu, from the Alexandria database.

SG: Amm2 (38)
ΔE_f: -0.9163 eV per atom
Uncorrected energy: -5.309 eV per atom
M_tot: 0.00 μB per cell
Energy above the most stable polymorph in this dataset: 0.000 eV/atom

Structure (POSCAR):
```
TbTmPdAu
1.0
4.6633 0.0000 0.0000
0.0000 1.8608 5.2964
0.0000 -1.8608 5.2964
Tb Tm Pd Au
1 1 1 1
direct
0.0000 0.0000 0.0000
0.5000 0.2767 0.2767
0.0000 0.7278 0.7278
0.5000 0.5547 0.5547
```



The following is a PBE-GGA calculation of a relaxed structure of TbTmPdAu, from the Alexandria database.

SG: F-43m (216)
ΔE_f: -0.8754 eV per atom
Uncorrected energy: -5.268 eV per atom
M_tot: 0.00 μB per cell
Energy above the most stable polymorph in this dataset: 0.041 eV/atom

Structure (POSCAR):
```
TbTmPdAu
1.0
0.0000 3.5401 3.5401
3.5401 0.0000 3.5401
3.5401 3.5401 0.0000
Tb Tm Pd Au
1 1 1 1
direct
0.0000 0.0000 0.0000
0.5000 0.5000 0.5000
0.7500 0.7500 0.7500
0.2500 0.2500 0.2500
```



The following is a PBE-GGA calculation of a relaxed structure of Tb2Zn2Pd5Au, from the Alexandria database.

SG: P4/mbm (127)
ΔE_f: -0.6726 eV per atom
Uncorrected energy: -4.778 eV per atom
M_tot: 0.00 μB per cell

Structure (POSCAR):
```
Tb2Zn2Pd5Au
1.0
9.5704 0.0000 0.0000
0.0000 9.5704 0.0000
0.0000 0.0000 3.8763
Tb Zn Pd Au
4 4 10 2
direct
0.1795 0.3205 0.0000
0.3205 0.8205 0.0000
0.6795 0.1795 0.0000
0.8205 0.6795 0.0000
0.1182 0.6182 0.0000
0.3818 0.1182 0.0000
0.6182 0.8818 0.0000
0.8818 0.3818 0.0000
0.0000 0.5000 0.5000
0.0690 0.7937 0.5000
0.2063 0.0690 0.5000
0.2937 0.5690 0.5000
0.4310 0.2937 0.5000
0.5000 0.0000 0.5000
0.5690 0.7063 0.5000
0.7063 0.4310 0.5000
0.7937 0.9310 0.5000
0.9310 0.2063 0.5000
0.0000 0.0000 0.0000
0.5000 0.5000 0.0000
```



The following is a PBE-GGA calculation of a relaxed structure of TbZnPdAu, from the Alexandria database.

SG: Cm (8)
ΔE_f: -0.6969 eV per atom
Uncorrected energy: -4.290 eV per atom
M_tot: 0.00 μB per cell

Structure (POSCAR):
```
TbZnPdAu
1.0
3.9155 -2.2523 0.0000
3.9155 2.2523 0.0000
-2.5948 0.0000 4.4868
Tb Zn Pd Au
1 1 1 1
direct
0.0000 0.0000 0.0000
0.5131 0.5131 0.5394
0.2192 0.2192 0.6572
0.7789 0.7789 0.3361
```



The following is a PBE-GGA calculation of a relaxed structure of TcPd2Au, from the Alexandria database.

SG: I-42d (122)
ΔE_f: 0.6054 eV per atom
Uncorrected energy: -5.402 eV per atom
M_tot: 5.18 μB per cell
Energy above the most stable polymorph in this dataset: 0.615 eV/atom

Structure (POSCAR):
```
TcPd2Au
1.0
-3.5912 3.5912 2.7429
3.5912 -3.5912 2.7429
3.5912 3.5912 -2.7429
Tc Pd Au
2 4 2
direct
0.0000 0.0000 0.0000
0.7500 0.2500 0.5000
0.1083 0.6250 0.9833
0.3750 0.3583 0.4833
0.6417 0.1250 0.0167
0.8750 0.8917 0.5167
0.2500 0.7500 0.5000
0.5000 0.5000 0.0000
```



The following is a PBE-GGA calculation of a relaxed structure of Tc2PdAu, from the Alexandria database.

SG: Fm-3m (225)
ΔE_f: 0.5900 eV per atom
Uncorrected energy: -6.711 eV per atom
M_tot: 0.00 μB per cell
Energy above the most stable polymorph in this dataset: 0.000 eV/atom

Structure (POSCAR):
```
Tc2PdAu
1.0
0.0000 3.1552 3.1552
3.1552 0.0000 3.1552
3.1552 3.1552 0.0000
Tc Pd Au
2 1 1
direct
0.2500 0.2500 0.2500
0.7500 0.7500 0.7500
0.0000 0.0000 0.0000
0.5000 0.5000 0.5000
```



The following is a PBE-GGA calculation of a relaxed structure of TcPdAu2, from the Alexandria database.

SG: Fm-3m (225)
ΔE_f: 0.3329 eV per atom
Uncorrected energy: -5.195 eV per atom
M_tot: 2.62 μB per cell
Energy above the most stable polymorph in this dataset: 0.000 eV/atom

Structure (POSCAR):
```
TcPdAu2
1.0
0.0000 3.2296 3.2296
3.2296 0.0000 3.2296
3.2296 3.2296 0.0000
Tc Pd Au
1 1 2
direct
0.0000 0.0000 0.0000
0.5000 0.5000 0.5000
0.2500 0.2500 0.2500
0.7500 0.7500 0.7500
```



The following is a PBE-GGA calculation of a relaxed structure of TcPd2Au, from the Alexandria database.

SG: Fm-3m (225)
ΔE_f: 0.2885 eV per atom
Uncorrected energy: -5.719 eV per atom
M_tot: 3.10 μB per cell
Energy above the most stable polymorph in this dataset: 0.298 eV/atom

Structure (POSCAR):
```
TcPd2Au
1.0
0.0000 3.1915 3.1915
3.1915 0.0000 3.1915
3.1915 3.1915 0.0000
Tc Pd Au
1 2 1
direct
0.0000 0.0000 0.0000
0.2500 0.2500 0.2500
0.7500 0.7500 0.7500
0.5000 0.5000 0.5000
```



The following is a PBE-GGA calculation of a relaxed structure of TcPdAu2, from the Alexandria database.

SG: R-3m (166)
ΔE_f: 0.4131 eV per atom
Uncorrected energy: -5.115 eV per atom
M_tot: 0.00 μB per cell
Energy above the most stable polymorph in this dataset: 0.080 eV/atom

Structure (POSCAR):
```
TcPdAu2
1.0
1.3820 0.7979 10.3670
-1.3820 0.7979 10.3670
0.0000 -1.5957 10.3670
Tc Pd Au
1 1 2
direct
0.0000 0.0000 0.0000
0.5000 0.5000 0.5000
0.0882 0.0882 0.0882
0.9118 0.9118 0.9118
```



The following is a PBE-GGA calculation of a relaxed structure of TcPd12Au3, from the Alexandria database.

SG: P4/mmm (123)
ΔE_f: -0.0149 eV per atom
Uncorrected energy: -5.172 eV per atom
M_tot: 1.97 μB per cell

Structure (POSCAR):
```
TcPd12Au3
1.0
3.9835 0.0000 0.0000
0.0000 3.9835 0.0000
0.0000 0.0000 15.9331
Tc Pd Au
1 12 3
direct
0.0000 0.0000 0.0000
0.0000 0.5000 0.1179
0.0000 0.5000 0.3737
0.0000 0.5000 0.6263
0.0000 0.5000 0.8821
0.5000 0.0000 0.1179
0.5000 0.0000 0.3737
0.5000 0.0000 0.6263
0.5000 0.0000 0.8821
0.5000 0.5000 0.0000
0.5000 0.5000 0.2468
0.5000 0.5000 0.5000
0.5000 0.5000 0.7532
0.0000 0.0000 0.2469
0.0000 0.0000 0.5000
0.0000 0.0000 0.7531
```



The following is a PBE-GGA calculation of a relaxed structure of Tc2PdAu, from the Alexandria database.

SG: I-42d (122)
ΔE_f: 1.6378 eV per atom
Uncorrected energy: -5.663 eV per atom
M_tot: 0.00 μB per cell
Energy above the most stable polymorph in this dataset: 1.048 eV/atom

Structure (POSCAR):
```
Tc2PdAu
1.0
-2.8384 2.8384 5.6641
2.8384 -2.8384 5.6641
2.8384 2.8384 -5.6641
Tc Pd Au
4 2 2
direct
0.1123 0.6250 0.9873
0.3750 0.3623 0.4873
0.6377 0.1250 0.0127
0.8750 0.8877 0.5127
0.0000 0.0000 0.0000
0.7500 0.2500 0.5000
0.2500 0.7500 0.5000
0.5000 0.5000 0.0000
```



The following is a PBE-GGA calculation of a relaxed structure of TcPd2Au, from the Alexandria database.

SG: R-3m (166)
ΔE_f: 0.0231 eV per atom
Uncorrected energy: -5.984 eV per atom
M_tot: 0.00 μB per cell
Energy above the most stable polymorph in this dataset: 0.032 eV/atom

Structure (POSCAR):
```
TcPd2Au
1.0
1.4018 0.8093 9.2478
-1.4018 0.8093 9.2478
0.0000 -1.6186 9.2478
Tc Pd Au
1 2 1
direct
0.0000 0.0000 0.0000
0.2545 0.2545 0.2545
0.7455 0.7455 0.7455
0.5000 0.5000 0.5000
```



The following is a PBE-GGA calculation of a relaxed structure of TcPd2Au, from the Alexandria database.

SG: P4/mmm (123)
ΔE_f: -0.0092 eV per atom
Uncorrected energy: -6.016 eV per atom
M_tot: 0.00 μB per cell
Energy above the most stable polymorph in this dataset: 0.000 eV/atom

Structure (POSCAR):
```
TcPd2Au
1.0
2.7895 0.0000 0.0000
0.0000 2.7895 0.0000
0.0000 0.0000 8.0659
Tc Pd Au
1 2 1
direct
0.0000 0.0000 0.0000
0.5000 0.5000 0.2330
0.5000 0.5000 0.7670
0.0000 0.0000 0.5000
```



The following is a PBE-GGA calculation of a relaxed structure of TcPd14Au, from the Alexandria database.

SG: P4/mmm (123)
ΔE_f: 0.0146 eV per atom
Uncorrected energy: -5.382 eV per atom
M_tot: 0.00 μB per cell

Structure (POSCAR):
```
TcPd14Au
1.0
5.6161 0.0000 0.0000
0.0000 5.6161 0.0000
0.0000 0.0000 7.8385
Tc Pd Au
1 14 1
direct
0.0000 0.0000 0.0000
0.0000 0.0000 0.5000
0.0000 0.5000 0.0000
0.0000 0.5000 0.5000
0.2452 0.2452 0.2466
0.2452 0.2452 0.7534
0.2452 0.7548 0.2466
0.2452 0.7548 0.7534
0.5000 0.0000 0.0000
0.5000 0.0000 0.5000
0.5000 0.5000 0.5000
0.7548 0.2452 0.2466
0.7548 0.2452 0.7534
0.7548 0.7548 0.2466
0.7548 0.7548 0.7534
0.5000 0.5000 0.0000
```



The following is a PBE-GGA calculation of a relaxed structure of TcPdAu2, from the Alexandria database.

SG: I-42d (122)
ΔE_f: 0.6694 eV per atom
Uncorrected energy: -4.859 eV per atom
M_tot: 6.64 μB per cell
Energy above the most stable polymorph in this dataset: 0.336 eV/atom

Structure (POSCAR):
```
TcPdAu2
1.0
-3.7016 3.7016 2.7282
3.7016 -3.7016 2.7282
3.7016 3.7016 -2.7282
Tc Pd Au
2 2 4
direct
0.0000 0.0000 0.0000
0.7500 0.2500 0.5000
0.2500 0.7500 0.5000
0.5000 0.5000 0.0000
0.1243 0.6250 0.9993
0.3750 0.3743 0.4993
0.6257 0.1250 0.0007
0.8750 0.8757 0.5007
```



The following is a PBE-GGA calculation of a relaxed structure of Te2Pd8Au, from the Alexandria database.

SG: C2/m (12)
Uncorrected energy: -4.860 eV per atom
M_tot: 0.00 μB per cell
Energy above the most stable polymorph in this dataset: 0.000 eV/atom
ΔE_f (raw): -2.36 eV/f.u.

Structure (POSCAR):
```
Te2Pd8Au
1.0
7.4982 -2.0704 0.0000
7.4982 2.0704 0.0000
-2.1379 0.0000 6.0801
Te Pd Au
2 8 1
direct
0.1995 0.1995 0.1637
0.8005 0.8005 0.8363
0.0376 0.0376 0.2391
0.1445 0.1445 0.7051
0.3227 0.3227 0.5733
0.4124 0.4124 0.0419
0.5876 0.5876 0.9581
0.6773 0.6773 0.4267
0.8555 0.8555 0.2949
0.9624 0.9624 0.7609
0.5000 0.5000 0.5000
```



The following is a PBE-GGA calculation of a relaxed structure of Te8PdAu4, from the Alexandria database.

SG: C2/m (12)
Uncorrected energy: -3.366 eV per atom
M_tot: 0.00 μB per cell
ΔE_f (raw): -0.32 eV/f.u.

Structure (POSCAR):
```
Te8PdAu4
1.0
6.7040 -4.4730 0.0000
6.7040 4.4730 0.0000
-3.1582 0.0000 6.0448
Te Pd Au
8 1 4
direct
0.2180 0.7422 0.7078
0.2578 0.7820 0.2922
0.2711 0.2711 0.2510
0.2706 0.2706 0.8020
0.7294 0.7294 0.1980
0.7289 0.7289 0.7490
0.7422 0.2180 0.7078
0.7820 0.2578 0.2922
0.5000 0.5000 0.5000
0.0000 0.0000 0.0000
0.0000 0.5000 0.5000
0.5000 0.0000 0.5000
0.5000 0.5000 0.0000
```



The following is a PBE-GGA calculation of a relaxed structure of Te2Pd5Au, from the Alexandria database.

SG: Cmcm (63)
Uncorrected energy: -4.431 eV per atom
M_tot: 0.00 μB per cell
ΔE_f (raw): 0.08 eV/f.u.

Structure (POSCAR):
```
Te2Pd5Au
1.0
2.1275 -8.2913 0.0000
2.1275 8.2913 0.0000
0.0000 0.0000 10.6579
Te Pd Au
4 10 2
direct
0.1247 0.8753 0.5612
0.1247 0.8753 0.9388
0.8753 0.1247 0.0612
0.8753 0.1247 0.4388
0.0238 0.9762 0.1263
0.0238 0.9762 0.3737
0.2285 0.7715 0.7500
0.2822 0.7178 0.0662
0.2822 0.7178 0.4338
0.7178 0.2822 0.5662
0.7178 0.2822 0.9338
0.7715 0.2285 0.2500
0.9762 0.0238 0.6263
0.9762 0.0238 0.8737
0.1634 0.8366 0.2500
0.8366 0.1634 0.7500
```



The following is a PBE-GGA calculation of a relaxed structure of TePdAu, from the Alexandria database.

SG: F-43m (216)
Uncorrected energy: -3.964 eV per atom
M_tot: 0.00 μB per cell
Energy above the most stable polymorph in this dataset: 0.013 eV/atom
ΔE_f (raw): -0.28 eV/f.u.

Structure (POSCAR):
```
TePdAu
1.0
0.0000 3.2108 3.2108
3.2108 0.0000 3.2108
3.2108 3.2108 0.0000
Te Pd Au
1 1 1
direct
0.0000 0.0000 0.0000
0.7500 0.7500 0.7500
0.5000 0.5000 0.5000
```



The following is a PBE-GGA calculation of a relaxed structure of TePd5Au, from the Alexandria database.

SG: P4/mmm (123)
Uncorrected energy: -4.805 eV per atom
M_tot: 0.00 μB per cell
Energy above the most stable polymorph in this dataset: 0.000 eV/atom
ΔE_f (raw): -1.25 eV/f.u.

Structure (POSCAR):
```
TePd5Au
1.0
4.0883 0.0000 0.0000
0.0000 4.0883 0.0000
0.0000 0.0000 7.4046
Te Pd Au
1 5 1
direct
0.0000 0.0000 0.0000
0.0000 0.0000 0.5000
0.0000 0.5000 0.2310
0.0000 0.5000 0.7690
0.5000 0.0000 0.2310
0.5000 0.0000 0.7690
0.5000 0.5000 0.5000
```